Record 1
First-principles (PBE) data for a relaxed Y4WSe crystal, as listed in the Alexandria database.

abc: 6.0671 6.0671 6.0671
angles: 60.00 60.00 60.00
Fractional coordinates of all 6 atoms:
Y 0.6274 0.1179 0.6274
Y 0.6274 0.6274 0.1179
Y 0.6274 0.6274 0.6274
Y 0.1179 0.6274 0.6274
Se 0.2500 0.2500 0.2500
W 0.0000 0.0000 0.0000

* space-group type: F-43m
* uncorrected formation energy: 0.830 eV per atom
* density of states at the Fermi level: 7.72 states/eV/cell


Record 2
First-principles (PBE) data for a relaxed KCoB2 crystal, as listed in the Alexandria database.

abc: 5.5103 5.5103 6.2063
angles: 63.65 63.65 90.00
Fractional coordinates of all 8 atoms:
B 0.3750 0.1252 0.7500
B 0.8750 0.1248 0.7500
B 0.8752 0.6250 0.2500
B 0.8748 0.1250 0.2500
Co 0.7500 0.2500 0.5000
Co 0.0000 0.0000 0.0000
K 0.5000 0.5000 0.0000
K 0.2500 0.7500 0.5000

* space-group type: I4_1/amd
* offset from the most stable computed form: 0.000 eV/atom
* energy of formation: 0.48 eV per atom
* density of states at the Fermi level: 2.84 states/eV/cell


Record 3
First-principles (PBE) data for a relaxed LaTmGa2Pt2 crystal, as listed in the Alexandria database.

abc: 4.4965 4.4965 7.2055
angles: 90.00 90.00 120.00
Fractional coordinates of all 6 atoms:
Tm 0.0000 0.0000 0.5000
Ga 0.6667 0.3333 0.7154
Ga 0.3333 0.6667 0.2846
Pt 0.3333 0.6667 0.7159
Pt 0.6667 0.3333 0.2841
La 0.0000 0.0000 0.0000

* space-group type: P-3m1
* energy of formation: -1.08 eV per atom
* density of states at the Fermi level: 3.58 states/eV/cell


Record 4
First-principles (PBE) data for a relaxed Rb3AgGe crystal, as listed in the Alexandria database.

abc: 6.7758 6.7758 6.7758
angles: 90.00 90.00 90.00
Each line ends with the local moment (μB).
Fractional coordinates of all 5 atoms:
Rb 0.5000 0.0000 0.0000  0.03
Rb 0.0000 0.5000 0.0000  0.03
Rb 0.0000 0.0000 0.5000  0.04
Ge 0.0000 0.0000 0.0000  0.62
Ag 0.5000 0.5000 0.5000  0.02

* space-group type: Pm-3m
* offset from the most stable computed form: 0.000 eV/atom
* energy of formation: 0.33 eV per atom
* density of states at the Fermi level: 3.10 states/eV/cell


Record 5
First-principles (PBE) data for a relaxed Tm8AsP4S3 crystal, as listed in the Alexandria database.

abc: 7.8531 7.8620 7.8533
angles: 119.96 120.00 90.00
Fractional coordinates of all 16 atoms:
Tm 0.2529 0.7585 0.0055
Tm 0.2469 0.2406 0.4938
Tm 0.7471 0.2415 0.9945
Tm 0.7531 0.7594 0.5062
Tm 0.2529 0.7585 0.5058
Tm 0.7526 0.7585 0.0055
Tm 0.2474 0.2415 0.9945
Tm 0.7471 0.2415 0.4942
P 0.5000 0.0000 0.0000
P 0.0000 0.0000 0.0000
P 0.5000 0.0000 0.5000
P 0.0000 0.0000 0.5000
S 0.0000 0.5000 0.5000
S 0.5000 0.5000 0.5000
S 0.5000 0.5000 0.0000
As 0.0000 0.5000 0.0000

* space-group type: R-3m
* uncorrected formation energy: -1.783 eV per atom
* density of states at the Fermi level: 3.39 states/eV/cell


Record 6
First-principles (PBE) data for a relaxed AcPm4Nd10 crystal, as listed in the Alexandria database.

abc: 6.9830 9.7798 9.7798
angles: 82.68 69.08 69.08
Fractional coordinates of all 15 atoms:
Pm 0.3208 0.2462 0.1122
Pm 0.6792 0.7538 0.8878
Pm 0.4330 0.8878 0.2462
Pm 0.5670 0.1122 0.7538
Nd 0.7500 0.5000 0.5000
Nd 0.4582 0.1630 0.4230
Nd 0.1188 0.4230 0.8370
Nd 0.3787 0.5770 0.1630
Nd 0.6213 0.4230 0.8370
Nd 0.8812 0.5770 0.1630
Nd 0.5418 0.8370 0.5770
Nd 0.0443 0.8370 0.5770
Nd 0.9557 0.1630 0.4230
Nd 0.2500 0.5000 0.5000
Ac 0.0000 0.0000 0.0000

* space-group type: I4/m
* energy of formation: 0.46 eV per atom
* density of states at the Fermi level: 25.28 states/eV/cell


Record 7
First-principles (PBE) data for a relaxed DyMg8Zn4 crystal, as listed in the Alexandria database.

abc: 5.5904 7.3941 7.3941
angles: 81.78 67.79 67.79
Fractional coordinates of all 13 atoms:
Mg 0.7137 0.7863 0.7863
Mg 0.3451 0.6549 0.6549
Mg 0.0000 0.3451 0.6549
Mg 0.5000 0.2137 0.7863
Mg 0.6549 0.3451 0.3451
Mg 0.2863 0.2137 0.2137
Mg 0.0000 0.6549 0.3451
Mg 0.5000 0.7863 0.2137
Zn 0.0000 0.0000 0.5000
Zn 0.5000 0.0000 0.5000
Zn 0.5000 0.5000 0.0000
Zn 0.0000 0.5000 0.0000
Dy 0.0000 0.0000 0.0000

* space-group type: I4/mmm
* energy of formation: -0.12 eV per atom
* density of states at the Fermi level: 5.15 states/eV/cell


Record 8
First-principles (PBE) data for a relaxed Ta4Mo3Ir crystal, as listed in the Alexandria database.

abc: 3.2365 4.5541 9.0780
angles: 90.00 90.00 90.00
Fractional coordinates of all 8 atoms:
Mo 0.5000 0.0000 0.7553
Mo 0.5000 0.5000 0.5000
Mo 0.5000 0.0000 0.2447
Ta 0.0000 0.0000 0.5000
Ta 0.0000 0.5000 0.7485
Ta 0.0000 0.5000 0.2515
Ta 0.0000 0.0000 0.0000
Ir 0.5000 0.5000 0.0000

* space-group type: Pmmm
* energy of formation: -0.33 eV per atom
* density of states at the Fermi level: 4.83 states/eV/cell


Record 9
First-principles (PBE) data for a relaxed Ac6Te3As2Pt crystal, as listed in the Alexandria database.

abc: 7.9656 7.9656 8.1488
angles: 99.46 99.46 119.89
Fractional coordinates of all 12 atoms:
As 0.6657 0.3343 0.0000
As 0.3343 0.6657 0.0000
Ac 0.6002 0.9270 0.7794
Ac 0.0730 0.3998 0.2206
Ac 0.7469 0.7469 0.2249
Ac 0.9270 0.6002 0.7794
Ac 0.2531 0.2531 0.7751
Ac 0.3998 0.0730 0.2206
Te 0.1718 0.8282 0.5000
Te 0.8282 0.1718 0.5000
Te 0.5000 0.5000 0.5000
Pt 0.0000 0.0000 0.0000

* space-group type: C2/m
* uncorrected formation energy: -1.451 eV per atom
* density of states at the Fermi level: 10.73 states/eV/cell


Record 10
First-principles (PBE) data for a relaxed In3C crystal, as listed in the Alexandria database.

abc: 3.5368 5.5960 5.5978
angles: 51.93 90.00 90.00
Fractional coordinates of all 4 atoms:
In 0.5000 0.1637 0.1638
In 0.0000 0.5000 0.5000
In 0.5000 0.8363 0.8362
C 0.0000 0.0000 0.0000

* space-group type: Cmmm
* energy of formation: 0.74 eV per atom
* density of states at the Fermi level: 1.00 states/eV/cell


Record 11
First-principles (PBE) data for a relaxed CaY4Ta2 crystal, as listed in the Alexandria database.

abc: 5.6890 5.6890 8.1699
angles: 69.62 69.62 90.00
Each line ends with the local moment (μB).
Fractional coordinates of all 7 atoms:
Y 0.7870 0.7870 0.4260  0.01
Y 0.5000 0.0000 0.0000  0.19
Y 0.2130 0.2130 0.5740  0.01
Y 0.0000 0.5000 0.0000  0.19
Ca 0.0000 0.0000 0.0000  0.03
Ta 0.4140 0.4140 0.1721  0.42
Ta 0.5860 0.5860 0.8279  0.42

* space-group type: I4/mmm
* energy of formation: 1.14 eV per atom
* density of states at the Fermi level: 9.43 states/eV/cell


Record 12
First-principles (PBE) data for a relaxed Ba12Cd3Pd5 crystal, as listed in the Alexandria database.

abc: 17.0576 17.0576 17.0576
angles: 109.47 109.47 109.47
Fractional coordinates of all 80 atoms:
Cd 0.1250 0.8750 0.7500
Cd 0.3750 0.6250 0.2500
Cd 0.2500 0.6250 0.8750
Cd 0.1250 0.2500 0.8750
Cd 0.8750 0.1250 0.2500
Cd 0.3750 0.7500 0.6250
Cd 0.7500 0.3750 0.1250
Cd 0.8750 0.7500 0.1250
Cd 0.6250 0.3750 0.7500
Cd 0.6250 0.2500 0.3750
Cd 0.7500 0.8750 0.6250
Cd 0.2500 0.1250 0.3750
Ba 0.5881 0.7088 0.6776
Ba 0.0881 0.1776 0.2088
Ba 0.9105 0.0881 0.8793
Ba 0.0312 0.6207 0.7088
Ba 0.3793 0.9688 0.7912
Ba 0.5312 0.2088 0.1207
Ba 0.6776 0.2088 0.5881
Ba 0.9688 0.3793 0.2912
Ba 0.0895 0.1776 0.4688
Ba 0.4105 0.0312 0.3224
Ba 0.8224 0.9105 0.0312
Ba 0.7912 0.4688 0.3793
Ba 0.5895 0.6207 0.4119
Ba 0.0895 0.9119 0.1207
Ba 0.1776 0.0881 0.7088
Ba 0.6776 0.4688 0.5895
Ba 0.4119 0.1207 0.5895
Ba 0.7088 0.1207 0.0312
Ba 0.8793 0.5881 0.9105
Ba 0.3224 0.5312 0.4105
Ba 0.2088 0.5312 0.6207
Ba 0.3793 0.4105 0.0881
Ba 0.4119 0.2912 0.3224
Ba 0.5881 0.8793 0.4105
Ba 0.8793 0.2912 0.4688
Ba 0.2912 0.4119 0.8224
Ba 0.4688 0.7912 0.8793
Ba 0.9105 0.8224 0.5312
Ba 0.4688 0.6776 0.0895
Ba 0.6207 0.0312 0.2088
Ba 0.9119 0.0895 0.6207
Ba 0.9119 0.8224 0.7912
Ba 0.5312 0.3224 0.9105
Ba 0.0881 0.9105 0.3793
Ba 0.2088 0.6776 0.0881
Ba 0.5895 0.9688 0.6776
Ba 0.1776 0.0895 0.9688
Ba 0.4105 0.3793 0.5881
Ba 0.2912 0.8793 0.9688
Ba 0.8224 0.9119 0.2912
Ba 0.7912 0.3224 0.9119
Ba 0.7088 0.5881 0.1776
Ba 0.3224 0.7912 0.4119
Ba 0.0312 0.4105 0.8224
Ba 0.1207 0.4119 0.0895
Ba 0.6207 0.5895 0.9119
Ba 0.1207 0.7088 0.5312
Ba 0.9688 0.5895 0.1776
Pd 0.8750 0.6250 0.7500
Pd 0.5000 0.0000 0.5000
Pd 0.7500 0.1250 0.8750
Pd 0.6250 0.8750 0.2500
Pd 0.3750 0.1250 0.7500
Pd 0.5000 0.5000 0.5000
Pd 0.1250 0.7500 0.3750
Pd 0.1250 0.3750 0.2500
Pd 0.3750 0.2500 0.1250
Pd 0.0000 0.0000 0.0000
Pd 0.6250 0.7500 0.8750
Pd 0.0000 0.5000 0.5000
Pd 0.7500 0.6250 0.3750
Pd 0.2500 0.8750 0.1250
Pd 0.0000 0.5000 0.0000
Pd 0.5000 0.5000 0.0000
Pd 0.8750 0.2500 0.6250
Pd 0.5000 0.0000 0.0000
Pd 0.2500 0.3750 0.6250
Pd 0.0000 0.0000 0.5000

* space-group type: Ia-3d
* energy of formation: -0.23 eV per atom
* density of states at the Fermi level: 68.26 states/eV/cell


Record 13
First-principles (PBE) data for a relaxed PmPaI6 crystal, as listed in the Alexandria database.

abc: 7.5796 8.3307 8.3307
angles: 125.90 99.24 99.24
Each line ends with the local moment (μB).
Fractional coordinates of all 8 atoms:
I 0.2536 0.7479 0.7479  -0.01
I 0.2516 0.1014 0.4036  -0.02
I 0.7484 0.5964 0.8986  -0.02
I 0.7464 0.2521 0.2521  -0.01
I 0.2516 0.4036 0.1014  -0.02
I 0.7484 0.8986 0.5964  -0.02
Pa 0.5000 0.5000 0.5000  1.53
Pm 0.0000 0.0000 0.0000  0.20

* space-group type: C2/m
* uncorrected formation energy: -1.082 eV per atom
* density of states at the Fermi level: 4.75 states/eV/cell


Record 14
First-principles (PBE) data for a relaxed CsAlIrF2 crystal, as listed in the Alexandria database.

abc: 4.5915 5.5571 4.5915
angles: 90.00 90.00 90.00
Each line ends with the local moment (μB).
Fractional coordinates of all 5 atoms:
Ir 0.0000 0.0000 0.0000  0.09
Al 0.5000 0.5000 0.5000  0.01
Cs 0.0000 0.5000 0.0000  0.00
F 0.5000 0.0000 0.0000  0.00
F 0.0000 0.0000 0.5000  0.01

* space-group type: P4/mmm
* uncorrected formation energy: 0.189 eV per atom
* density of states at the Fermi level: 3.09 states/eV/cell


Record 15
First-principles (PBE) data for a relaxed Cs2Te3I crystal, as listed in the Alexandria database.

abc: 7.7763 7.7763 13.8847
angles: 113.50 113.50 87.49
Fractional coordinates of all 12 atoms:
Te 0.3855 0.6145 0.7500
Te 0.3876 0.4083 0.5269
Te 0.6124 0.5917 0.4731
Te 0.5917 0.6124 0.9731
Te 0.6145 0.3855 0.2500
Te 0.4083 0.3876 0.0269
Cs 0.9325 0.6112 0.8067
Cs 0.0675 0.3888 0.1933
Cs 0.3888 0.0675 0.6933
Cs 0.6112 0.9325 0.3067
I 0.0808 0.9192 0.2500
I 0.9192 0.0808 0.7500

* space-group type: C2/c
* uncorrected formation energy: -0.741 eV per atom
* density of states at the Fermi level: 1.57 states/eV/cell


Record 16
First-principles (PBE) data for a relaxed LiZrOs2 crystal, as listed in the Alexandria database.

abc: 2.8228 2.8228 8.4078
angles: 90.00 90.00 90.00
Fractional coordinates of all 4 atoms:
Zr 0.0000 0.0000 0.4791
Os 0.0000 0.0000 0.0178
Os 0.5000 0.5000 0.2163
Li 0.5000 0.5000 0.7869

* space-group type: P4mm
* energy of formation: 0.18 eV per atom
* density of states at the Fermi level: 4.31 states/eV/cell


Record 17
First-principles (PBE) data for a relaxed LiLa4Dy crystal, as listed in the Alexandria database.

abc: 3.7197 3.7197 14.4894
angles: 90.00 90.00 90.00
Fractional coordinates of all 6 atoms:
La 0.5000 0.5000 0.8264
La 0.0000 0.0000 0.6526
La 0.0000 0.0000 0.3474
La 0.5000 0.5000 0.1736
Li 0.5000 0.5000 0.5000
Dy 0.0000 0.0000 0.0000

* space-group type: P4/mmm
* energy of formation: 0.04 eV per atom
* density of states at the Fermi level: 9.50 states/eV/cell


Record 18
First-principles (PBE) data for a relaxed NdYSCl crystal, as listed in the Alexandria database.

abc: 3.8653 3.8683 7.7462
angles: 90.01 104.36 120.03
Fractional coordinates of all 4 atoms:
Cl 0.4843 0.1401 0.6388
S 0.1262 0.9611 0.1029
Y 0.3275 0.5617 0.9046
Nd 0.9398 0.3679 0.3233

* space-group type: Cm
* uncorrected formation energy: -1.618 eV per atom
* density of states at the Fermi level: 2.80 states/eV/cell


Record 19
First-principles (PBE) data for a relaxed BaHgSe2 crystal, as listed in the Alexandria database.

abc: 10.7056 10.7056 6.5592
angles: 90.00 90.00 156.54
Fractional coordinates of all 8 atoms:
Se 0.2169 0.7831 0.2500
Se 0.7831 0.2169 0.7500
Se 0.9226 0.0774 0.2500
Se 0.0774 0.9226 0.7500
Hg 0.6640 0.3360 0.7500
Hg 0.3360 0.6640 0.2500
Ba 0.9198 0.0802 0.7500
Ba 0.0802 0.9198 0.2500

* space-group type: Cmcm
* uncorrected formation energy: -0.596 eV per atom
* density of states at the Fermi level: 0.62 states/eV/cell


Record 20
First-principles (PBE) data for a relaxed Ba2CuH crystal, as listed in the Alexandria database.

abc: 4.3363 4.3363 7.9821
angles: 74.24 74.24 60.00
Fractional coordinates of all 4 atoms:
Ba 0.0737 0.0737 0.7788
Ba 0.2585 0.2585 0.2245
Cu 0.4991 0.4991 0.5026
H 0.6686 0.6686 0.9941

* space-group type: R3m
* offset from the most stable computed form: 0.046 eV/atom
* density of states at the Fermi level: 3.19 states/eV/cell


Record 21
First-principles (PBE) data for a relaxed Tl6Cl5F crystal, as listed in the Alexandria database.

abc: 7.8488 7.8488 7.8404
angles: 99.79 99.79 120.58
Fractional coordinates of all 12 atoms:
Tl 0.9171 0.6040 0.7571
Tl 0.0829 0.3960 0.2429
Tl 0.7861 0.7861 0.2209
Tl 0.3960 0.0829 0.2429
Tl 0.6040 0.9171 0.7571
Tl 0.2139 0.2139 0.7791
F 0.0000 0.0000 0.0000
Cl 0.3399 0.6601 0.0000
Cl 0.6601 0.3399 0.0000
Cl 0.5000 0.5000 0.5000
Cl 0.1789 0.8211 0.5000
Cl 0.8211 0.1789 0.5000

* space-group type: C2/m
* uncorrected formation energy: -1.118 eV per atom
* density of states at the Fermi level: 0.00 states/eV/cell